First-principles (PBE-GGA) data for a relaxed BaNiRu2 crystal, as listed in Alexandria.

Cell: 2.9639 2.9639 28.5902 Å, 90.00 90.00 120.00°
With the nearest neighbours (Å) after each atom.
Sites, in units of the cell vectors:
Ba1 0.0000 0.0000 0.0000  6 Ba 2.96
Ba2 0.3333 0.6667 0.6667  6 Ba 2.96
Ba3 0.6667 0.3333 0.3333  6 Ba 2.96
Ni1 0.0000 0.0000 0.5000  6 Ru 2.53
Ni2 0.3333 0.6667 0.1667  6 Ru 2.53
Ni3 0.6667 0.3333 0.8333  6 Ru 2.53
Ru1 0.0000 0.0000 0.2320  3 Ni 2.53
Ru2 0.0000 0.0000 0.7680  3 Ni 2.53
Ru3 0.3333 0.6667 0.4347  3 Ni 2.53
Ru4 0.3333 0.6667 0.8986  3 Ni 2.53
Ru5 0.6667 0.3333 0.1014  3 Ni 2.53
Ru6 0.6667 0.3333 0.5653  3 Ni 2.53

Output
Formation energy: 1.073 eV/atom
Space-group type: R-3m (166)
DOS(E_F): 18.553 states/eV/cell

***

First-principles (PBE-GGA) data for a relaxed Ba2MnMo crystal, as listed in Alexandria.

Cell: 3.8088 5.5690 12.0119 Å, 90.00 90.00 90.00°
With the nearest neighbours (Å) after each atom.
Sites, in units of the cell vectors:
Ba1 0.0000 0.0000 0.0000  4 Mn 3.54, 2 Mo 3.67, 6 Ba 3.78-3.94
Ba2 0.0000 0.5000 0.2132  4 Mo 3.53, 2 Mn 3.66, 6 Ba 3.78-3.94
Ba3 0.5000 0.0000 0.7132  4 Mo 3.53, 2 Mn 3.66, 6 Ba 3.78-3.94
Ba4 0.5000 0.5000 0.5000  4 Mn 3.54, 2 Mo 3.67, 6 Ba 3.78-3.94
Mn1 0.0000 0.0000 0.4112  2 Mo 2.32
Mn2 0.5000 0.5000 0.9112  2 Mo 2.32
Mo1 0.0000 0.5000 0.8012  2 Mn 2.32
Mo2 0.5000 0.0000 0.3012  2 Mn 2.32

Output
Formation energy: 0.732 eV/atom
Space-group type: Imm2 (44)
DOS(E_F): 8.493 states/eV/cell

***

First-principles (PBE-GGA) data for a relaxed TlInGaAu2 crystal, as listed in Alexandria.

Cell: 7.0991 7.0991 10.1306 Å, 126.49 126.49 37.03°
With the nearest neighbours (Å) after each atom.
Sites, in units of the cell vectors:
Tl1 0.0385 0.0385 0.1831  5 Au 3.02-3.30, 1 Tl 3.16
Tl2 0.9615 0.9615 0.8169  5 Au 3.02-3.30, 1 Tl 3.16
In1 0.2536 0.2536 0.8708  4 Au 2.75-2.88
In2 0.7464 0.7464 0.1292  4 Au 2.75-2.88
Ga1 0.3725 0.3725 0.4526  5 Au 2.65-2.78, 1 Ga 2.93
Ga2 0.6275 0.6275 0.5474  5 Au 2.65-2.78, 1 Ga 2.93
Au1 0.2541 0.2541 0.5994  3 Ga 2.67-2.78, 1 In 2.75, 2 Au 2.98
Au2 0.4132 0.4132 0.2284  2 Ga 2.65-2.66, 3 In 2.82-2.88
Au3 0.5868 0.5868 0.7716  2 Ga 2.65-2.66, 3 In 2.82-2.88
Au4 0.7459 0.7459 0.4006  3 Ga 2.67-2.78, 1 In 2.75, 2 Au 2.98

Output
Formation energy: -0.134 eV/atom
Space-group type: C2/m (12)
DOS(E_F): 3.993 states/eV/cell

***

First-principles (PBE-GGA) data for a relaxed PPtRh2 crystal, as listed in Alexandria.

Cell: 2.8547 2.8547 24.4379 Å, 90.00 90.00 120.00°
With the nearest neighbours (Å) after each atom.
Sites, in units of the cell vectors:
P1 0.0000 0.0000 0.0000  3 Rh 2.36, 3 Pt 2.50
P2 0.3333 0.6667 0.6667  3 Rh 2.36, 3 Pt 2.50
P3 0.6667 0.3333 0.3333  3 Rh 2.36, 3 Pt 2.50
Pt1 0.0000 0.0000 0.7437  3 P 2.50
Pt2 0.3333 0.6667 0.4104  3 P 2.50
Pt3 0.6667 0.3333 0.0770  3 P 2.50
Rh1 0.0000 0.0000 0.2644  3 P 2.36
Rh2 0.0000 0.0000 0.5043  9 Rh 2.81-2.85, 3 Pt 2.83
Rh3 0.3333 0.6667 0.1710  9 Rh 2.81-2.85, 3 Pt 2.83
Rh4 0.3333 0.6667 0.9310  3 P 2.36
Rh5 0.6667 0.3333 0.5977  3 P 2.36
Rh6 0.6667 0.3333 0.8377  9 Rh 2.81-2.85, 3 Pt 2.83

Output
Formation energy: -0.099 eV/atom
Space-group type: R3m (160)
DOS(E_F): 15.037 states/eV/cell

***

First-principles (PBE-GGA) data for a relaxed Be2RuW crystal, as listed in Alexandria.

Cell: 3.5422 2.8827 8.8770 Å, 90.00 90.00 90.00°
With the nearest neighbours (Å) after each atom.
Sites, in units of the cell vectors:
Be1 0.0000 0.0000 0.0000  2 Be 2.10
Be2 0.0000 0.5000 0.5000  2 Be 2.10
Be3 0.5000 0.0000 0.1266  2 Be 2.10
Be4 0.5000 0.5000 0.6266  2 Be 2.10
Ru1 0.0000 0.0000 0.7188  7 Be 2.42-2.50
Ru2 0.0000 0.5000 0.2188  7 Be 2.42-2.50
W1 0.5000 0.0000 0.3987  7 Be 2.42-2.48
W2 0.5000 0.5000 0.8987  7 Be 2.42-2.48

Output
Formation energy: -0.167 eV/atom
Space-group type: Amm2 (38)
DOS(E_F): 4.053 states/eV/cell

***

First-principles (PBE-GGA) data for a relaxed Dy8Er4Tm3 crystal, as listed in Alexandria.

Cell: 9.1708 9.1708 6.6698 Å, 111.30 111.30 87.73°
With the nearest neighbours (Å) after each atom.
Sites, in units of the cell vectors:
Dy1 0.1421 0.8579 0.0000  4 Tm 3.58-3.79, 7 Dy 3.58-3.61, 2 Er 3.58
Dy2 0.2321 0.2321 0.4698  1 Tm 3.18, 4 Er 3.19-3.53, 2 Dy 3.19-3.48
Dy3 0.2332 0.2332 0.9930  3 Tm 3.18, 2 Dy 3.19-3.48, 2 Er 3.44-3.50
Dy4 0.2488 0.7512 0.5000  3 Tm 3.16-3.31, 3 Er 3.19-3.31
Dy5 0.7512 0.2488 0.5000  3 Tm 3.16-3.31, 3 Er 3.19-3.31
Dy6 0.7668 0.7668 0.0070  3 Tm 3.18, 2 Dy 3.19-3.48, 2 Er 3.44-3.50
Dy7 0.7679 0.7679 0.5302  1 Tm 3.18, 4 Er 3.19-3.53, 2 Dy 3.19-3.48
Dy8 0.8579 0.1421 0.0000  4 Tm 3.58-3.79, 7 Dy 3.58-3.61, 2 Er 3.58
Er1 0.0000 0.5000 0.5000  4 Dy 3.19-3.31, 2 Tm 3.33
Er2 0.5000 0.0000 0.5000  4 Dy 3.19-3.31, 2 Tm 3.33
Er3 0.5000 0.5000 0.0000  2 Er 3.33, 4 Dy 3.50-3.53
Er4 0.5000 0.5000 0.5000  6 Dy 3.19-3.45, 2 Er 3.33
Tm1 0.0000 0.0000 0.5000  6 Dy 3.16-3.18
Tm2 0.0000 0.5000 0.0000  4 Dy 3.18-3.31, 2 Er 3.33
Tm3 0.5000 0.0000 0.0000  4 Dy 3.18-3.31, 2 Er 3.33

Output
Formation energy: 0.410 eV/atom
Space-group type: C2/m (12)
DOS(E_F): 28.982 states/eV/cell

***

First-principles (PBE-GGA) data for a relaxed TbNdRuBr crystal, as listed in Alexandria.

Cell: 6.9468 4.0173 8.1900 Å, 90.00 106.37 90.00°
With the nearest neighbours (Å) after each atom.
Sites, in units of the cell vectors:
Tb1 0.0000 0.0000 0.0000  3 Ru 2.76
Tb2 0.5000 0.5000 0.0000  3 Ru 2.76
Nd1 0.2028 0.0000 0.6089  3 Ru 2.80
Nd2 0.7028 0.5000 0.6089  3 Ru 2.80
Ru1 0.1030 0.5000 0.8094  3 Tb 2.76, 3 Nd 2.80
Ru2 0.6030 0.0000 0.8094  3 Tb 2.76, 3 Nd 2.80
Br1 0.4310 0.0000 0.2928  3 Tb 3.27, 3 Nd 3.40
Br2 0.9310 0.5000 0.2928  3 Tb 3.27, 3 Nd 3.40

Output
Space-group type: Cm (8)
DOS(E_F): 5.098 states/eV/cell
Formation energy from raw total energies: -738 meV per atom

***

First-principles (PBE-GGA) data for a relaxed NaZrCu2Se4 crystal, as listed in Alexandria.

Cell: 6.4055 7.0120 8.5977 Å, 90.00 90.00 90.00°
With the nearest neighbours (Å) after each atom.
Sites, in units of the cell vectors:
Na1 0.0000 0.0000 0.0000  4 Se 2.95
Na2 0.5000 0.5000 0.5000  4 Se 2.95
Zr1 0.0000 0.0000 0.5000  4 Se 2.56
Zr2 0.5000 0.5000 0.0000  4 Se 2.56
Cu1 0.0000 0.5000 0.1529  2 Se 2.36, 1 Cu 2.63
Cu2 0.0000 0.5000 0.8471  2 Se 2.36, 1 Cu 2.63
Cu3 0.5000 0.0000 0.3471  2 Se 2.36, 1 Cu 2.63
Cu4 0.5000 0.0000 0.6529  2 Se 2.36, 1 Cu 2.63
Se1 0.2270 0.2262 0.3377  1 Cu 2.36, 1 Zr 2.56
Se2 0.2270 0.7738 0.6623  1 Cu 2.36, 1 Zr 2.56
Se3 0.2730 0.2738 0.8377  1 Cu 2.36, 1 Zr 2.56
Se4 0.2730 0.7262 0.1623  1 Cu 2.36, 1 Zr 2.56
Se5 0.7270 0.2738 0.1623  1 Cu 2.36, 1 Zr 2.56
Se6 0.7270 0.7262 0.8377  1 Cu 2.36, 1 Zr 2.56
Se7 0.7730 0.2262 0.6623  1 Cu 2.36, 1 Zr 2.56
Se8 0.7730 0.7738 0.3377  1 Cu 2.36, 1 Zr 2.56

Output
Space-group type: I222 (23)
DOS(E_F): 6.193 states/eV/cell
Formation energy from raw total energies: -622 meV per atom

***

First-principles (PBE-GGA) data for a relaxed TlP2Ru crystal, as listed in Alexandria.

Cell: 3.3728 4.3222 4.6925 Å, 90.00 90.00 90.00°
With the nearest neighbours (Å) after each atom.
Sites, in units of the cell vectors:
Tl1 0.0000 0.0000 0.0000  4 Ru 2.74, 4 P 2.89
P1 0.0000 0.5000 0.5000  4 P 2.74, 4 Ru 2.89
P2 0.5000 0.0000 0.5000  4 P 2.74, 4 Tl 2.89
Ru1 0.5000 0.5000 0.0000  4 Tl 2.74, 4 P 2.89

Output
Formation energy: 0.750 eV/atom
Space-group type: Pmmm (47)
DOS(E_F): 2.327 states/eV/cell

***

First-principles (PBE-GGA) data for a relaxed Dy6Ho4Th crystal, as listed in Alexandria.

Cell: 5.5830 5.5830 25.5317 Å, 90.00 90.00 118.44°
With the nearest neighbours (Å) after each atom.
Sites, in units of the cell vectors:
Dy1 0.0000 0.0000 0.0000  8 Ho 3.13-3.47
Dy2 0.0000 0.0000 0.5000  8 Ho 3.13-3.47
Dy3 0.0320 0.9680 0.7500  3 Th 3.22-3.26, 2 Ho 3.27
Dy4 0.3054 0.6946 0.1015  6 Ho 3.28-3.67
Dy5 0.3054 0.6946 0.3985  6 Ho 3.28-3.67
Dy6 0.3655 0.6345 0.6821  5 Dy 3.46-3.77, 4 Ho 3.52-3.63, 3 Th 3.62-3.71
Dy7 0.3655 0.6345 0.8179  5 Dy 3.46-3.77, 4 Ho 3.52-3.63, 3 Th 3.62-3.71
Dy8 0.6345 0.3655 0.1821  5 Dy 3.46-3.77, 4 Ho 3.52-3.63, 3 Th 3.62-3.71
Dy9 0.6345 0.3655 0.3179  5 Dy 3.46-3.77, 4 Ho 3.52-3.63, 3 Th 3.62-3.71
Dy10 0.6946 0.3054 0.6015  6 Ho 3.28-3.67
Dy11 0.6946 0.3054 0.8985  6 Ho 3.28-3.67
Dy12 0.9680 0.0320 0.2500  3 Th 3.22-3.26, 2 Ho 3.27
Ho1 0.0357 0.9643 0.6220  5 Dy 3.13-3.31
Ho2 0.0357 0.9643 0.8780  5 Dy 3.13-3.31
Ho3 0.3446 0.6554 0.5416  8 Dy 3.39-3.69, 2 Ho 3.61-3.66
Ho4 0.3446 0.6554 0.9584  8 Dy 3.39-3.69, 2 Ho 3.61-3.66
Ho5 0.6554 0.3446 0.0416  8 Dy 3.39-3.69, 2 Ho 3.61-3.66
Ho6 0.6554 0.3446 0.4584  8 Dy 3.39-3.69, 2 Ho 3.61-3.66
Ho7 0.9643 0.0357 0.1220  5 Dy 3.13-3.31
Ho8 0.9643 0.0357 0.3780  5 Dy 3.13-3.31
Th1 0.3037 0.6963 0.2500  3 Dy 3.22-3.26
Th2 0.6963 0.3037 0.7500  3 Dy 3.22-3.26

Output
Formation energy: 0.146 eV/atom
Space-group type: Cmcm (63)
DOS(E_F): 41.481 states/eV/cell

***

First-principles (PBE-GGA) data for a relaxed Ag2BiSbSe4 crystal, as listed in Alexandria.

Cell: 5.7915 5.7915 11.8760 Å, 90.00 90.00 90.00°
With the nearest neighbours (Å) after each atom.
Sites, in units of the cell vectors:
Ag1 0.0000 0.0000 0.0000  6 Se 2.90-3.04
Ag2 0.0000 0.5000 0.2500  6 Se 2.90-2.96
Ag3 0.5000 0.0000 0.7500  6 Se 2.90-2.96
Ag4 0.5000 0.5000 0.5000  6 Se 2.90-3.04
Bi1 0.0000 0.5000 0.7500  6 Se 2.90-2.98
Bi2 0.5000 0.0000 0.2500  6 Se 2.90-2.98
Sb1 0.0000 0.0000 0.5000  6 Se 2.90
Sb2 0.5000 0.5000 0.0000  6 Se 2.90
Se1 0.0000 0.0000 0.2562  1 Sb 2.90, 2 Bi 2.90, 3 Ag 2.90-3.04
Se2 0.0000 0.0000 0.7438  1 Sb 2.90, 2 Bi 2.90, 3 Ag 2.90-3.04
Se3 0.0000 0.5000 0.0008  2 Sb 2.90, 3 Ag 2.90-2.96, 1 Bi 2.98
Se4 0.0000 0.5000 0.4992  2 Sb 2.90, 3 Ag 2.90-2.96, 1 Bi 2.98
Se5 0.5000 0.0000 0.5008  2 Sb 2.90, 3 Ag 2.90-2.96, 1 Bi 2.98
Se6 0.5000 0.0000 0.9992  2 Sb 2.90, 3 Ag 2.90-2.96, 1 Bi 2.98
Se7 0.5000 0.5000 0.2438  1 Sb 2.90, 2 Bi 2.90, 3 Ag 2.90-3.04
Se8 0.5000 0.5000 0.7562  1 Sb 2.90, 2 Bi 2.90, 3 Ag 2.90-3.04

Output
Space-group type: I-4m2 (119)
DOS(E_F): 2.504 states/eV/cell
Formation energy from raw total energies: -191 meV per atom

***

First-principles (PBE-GGA) data for a relaxed Ag6Pd3Pb crystal, as listed in Alexandria.

Cell: 9.8610 9.8610 5.2400 Å, 90.00 90.00 132.92°
With the nearest neighbours (Å) after each atom.
Sites, in units of the cell vectors:
Ag1 0.0065 0.9935 0.5000  4 Ag 2.63-2.81, 1 Pb 2.87, 4 Pd 2.89-2.93
Ag2 0.0818 0.5467 0.0190  3 Pd 2.82-2.85, 5 Ag 2.88-3.05, 2 Pb 3.01-3.02
Ag3 0.2879 0.3524 0.3033  4 Pd 2.77-3.00, 6 Ag 2.81-3.02
Ag4 0.3288 0.6712 0.4477  4 Pd 2.76-3.05, 6 Ag 2.90-3.05
Ag5 0.3524 0.2879 0.8033  4 Pd 2.77-3.00, 6 Ag 2.81-3.02
Ag6 0.4533 0.9182 0.0190  3 Pd 2.82-2.85, 5 Ag 2.88-3.05, 2 Pb 3.01-3.02
Ag7 0.5467 0.0818 0.5190  3 Pd 2.82-2.85, 5 Ag 2.88-3.05, 2 Pb 3.01-3.02
Ag8 0.6476 0.7121 0.3033  4 Pd 2.77-3.00, 6 Ag 2.81-3.02
Ag9 0.6712 0.3288 0.9477  4 Pd 2.76-3.05, 6 Ag 2.90-3.05
Ag10 0.7121 0.6476 0.8033  4 Pd 2.77-3.00, 6 Ag 2.81-3.02
Ag11 0.9182 0.4533 0.5190  3 Pd 2.82-2.85, 5 Ag 2.88-3.05, 2 Pb 3.01-3.02
Ag12 0.9935 0.0065 0.0000  4 Ag 2.63-2.81, 1 Pb 2.87, 4 Pd 2.89-2.93
Pd1 0.0608 0.2999 0.7061  2 Pd 2.77-2.84, 7 Ag 2.82-3.01, 2 Pb 3.04-3.05
Pd2 0.2999 0.0608 0.2061  2 Pd 2.77-2.84, 7 Ag 2.82-3.01, 2 Pb 3.04-3.05
Pd3 0.3981 0.6019 0.9178  8 Ag 2.76-3.05, 2 Pd 2.77
Pd4 0.6019 0.3981 0.4178  8 Ag 2.76-3.05, 2 Pd 2.77
Pd5 0.7001 0.9392 0.7061  2 Pd 2.77-2.84, 7 Ag 2.82-3.01, 2 Pb 3.04-3.05
Pd6 0.9392 0.7001 0.2061  2 Pd 2.77-2.84, 7 Ag 2.82-3.01, 2 Pb 3.04-3.05
Pb1 0.1538 0.8462 0.7068  5 Ag 2.87-3.02, 4 Pd 3.04-3.05
Pb2 0.8462 0.1538 0.2068  5 Ag 2.87-3.02, 4 Pd 3.04-3.05

Output
Formation energy: 0.043 eV/atom
Space-group type: Cmc2_1 (36)
DOS(E_F): 7.686 states/eV/cell